Entry 1:
# GGA-PBE Nb2TcNi, optimized geometry
# ΔE_f (meV per atom): 43
# Calculated density (g/cm³): 9.3
# SG: F-43m (216)
data_Nb2TcNi
_cell_length_a 4.430
_cell_length_b 4.430
_cell_length_c 4.430
_cell_angle_alpha 60.00
_cell_angle_beta 60.00
_cell_angle_gamma 60.00
_symmetry_space_group_name_H-M 'P 1'
_symmetry_Int_Tables_number 1
loop_
_symmetry_equiv_pos_as_xyz
'x,y,z'
loop_
_atom_site_label
_atom_site_type_symbol
_atom_site_fract_x
_atom_site_fract_y
_atom_site_fract_z
Nb1 Nb 0.000 0.000 0.000
Nb2 Nb 0.750 0.750 0.750
Ni1 Ni 0.250 0.250 0.250
Tc1 Tc 0.500 0.500 0.500

=====

Entry 2:
# GGA-PBE NbNiTe2, optimized geometry
# Total DFT energy (no corrections) (eV/atom): -4.896
# Calculated density (g/cm³): 8.3
# SG: F-43m (216)
data_NbNiTe2
_cell_length_a 4.868
_cell_length_b 4.868
_cell_length_c 4.868
_cell_angle_alpha 60.00
_cell_angle_beta 60.00
_cell_angle_gamma 60.00
_symmetry_space_group_name_H-M 'P 1'
_symmetry_Int_Tables_number 1
loop_
_symmetry_equiv_pos_as_xyz
'x,y,z'
loop_
_atom_site_label
_atom_site_type_symbol
_atom_site_fract_x
_atom_site_fract_y
_atom_site_fract_z
Nb1 Nb 0.000 0.000 0.000
Ni1 Ni 0.750 0.750 0.750
Te1 Te 0.250 0.250 0.250
Te2 Te 0.500 0.500 0.500

=====

Entry 3:
# GGA-PBE NbNiTe2, optimized geometry
# Total DFT energy (no corrections) (eV/atom): -5.939
# Calculated density (g/cm³): 7.0
# SG: P2_1/c (14)
data_NbNiTe2
_cell_length_a 8.598
_cell_length_b 6.317
_cell_length_c 7.998
_cell_angle_alpha 90.00
_cell_angle_beta 117.23
_cell_angle_gamma 90.00
_symmetry_space_group_name_H-M 'P 1'
_symmetry_Int_Tables_number 1
loop_
_symmetry_equiv_pos_as_xyz
'x,y,z'
loop_
_atom_site_label
_atom_site_type_symbol
_atom_site_fract_x
_atom_site_fract_y
_atom_site_fract_z
Nb1 Nb 0.987 0.488 0.196
Nb2 Nb 0.013 0.988 0.304
Nb3 Nb 0.987 0.012 0.696
Nb4 Nb 0.013 0.512 0.804
Ni1 Ni 0.113 0.144 0.056
Ni2 Ni 0.887 0.644 0.444
Ni3 Ni 0.113 0.356 0.556
Ni4 Ni 0.887 0.856 0.944
Te1 Te 0.695 0.753 0.099
Te2 Te 0.215 0.751 0.127
Te3 Te 0.785 0.251 0.373
Te4 Te 0.305 0.253 0.401
Te5 Te 0.695 0.747 0.599
Te6 Te 0.215 0.749 0.627
Te7 Te 0.785 0.249 0.873
Te8 Te 0.305 0.247 0.901

=====

Entry 4:
# GGA-PBE Nb2NiTe, optimized geometry
# Total DFT energy (no corrections) (eV/atom): -6.918
# Calculated density (g/cm³): 8.9
# SG: F-43m (216)
data_Nb2NiTe
_cell_length_a 4.610
_cell_length_b 4.610
_cell_length_c 4.610
_cell_angle_alpha 60.00
_cell_angle_beta 60.00
_cell_angle_gamma 60.00
_symmetry_space_group_name_H-M 'P 1'
_symmetry_Int_Tables_number 1
loop_
_symmetry_equiv_pos_as_xyz
'x,y,z'
loop_
_atom_site_label
_atom_site_type_symbol
_atom_site_fract_x
_atom_site_fract_y
_atom_site_fract_z
Nb1 Nb 0.000 0.000 0.000
Nb2 Nb 0.750 0.750 0.750
Ni1 Ni 0.250 0.250 0.250
Te1 Te 0.500 0.500 0.500

=====

Entry 5:
# GGA-PBE NbNi2Te, optimized geometry
# Total DFT energy (no corrections) (eV/atom): -5.985
# Calculated density (g/cm³): 9.0
# SG: F-43m (216)
data_NbNi2Te
_cell_length_a 4.444
_cell_length_b 4.444
_cell_length_c 4.444
_cell_angle_alpha 60.00
_cell_angle_beta 60.00
_cell_angle_gamma 60.00
_symmetry_space_group_name_H-M 'P 1'
_symmetry_Int_Tables_number 1
loop_
_symmetry_equiv_pos_as_xyz
'x,y,z'
loop_
_atom_site_label
_atom_site_type_symbol
_atom_site_fract_x
_atom_site_fract_y
_atom_site_fract_z
Nb1 Nb 0.750 0.750 0.750
Ni1 Ni 0.000 0.000 0.000
Ni2 Ni 0.250 0.250 0.250
Te1 Te 0.500 0.500 0.500

=====

Entry 6:
# GGA-PBE NbTlNiTe3, optimized geometry
# Relative energy among the computed polymorphs (meV per atom): 0
# Calculated density (g/cm³): 7.5
# SG: P2_1/m (11)
data_NbTlNiTe3
_cell_length_a 8.982
_cell_length_b 3.790
_cell_length_c 10.510
_cell_angle_alpha 90.00
_cell_angle_beta 113.25
_cell_angle_gamma 90.00
_symmetry_space_group_name_H-M 'P 1'
_symmetry_Int_Tables_number 1
loop_
_symmetry_equiv_pos_as_xyz
'x,y,z'
loop_
_atom_site_label
_atom_site_type_symbol
_atom_site_fract_x
_atom_site_fract_y
_atom_site_fract_z
Nb1 Nb 0.966 0.250 0.188
Nb2 Nb 0.034 0.750 0.812
Ni1 Ni 0.978 0.750 0.395
Ni2 Ni 0.022 0.250 0.605
Te1 Te 0.165 0.750 0.115
Te2 Te 0.730 0.750 0.165
Te3 Te 0.188 0.250 0.453
Te4 Te 0.812 0.750 0.547
Te5 Te 0.270 0.250 0.835
Te6 Te 0.835 0.250 0.885
Tl1 Tl 0.485 0.250 0.295
Tl2 Tl 0.515 0.750 0.705

=====

Entry 7:
# GGA-PBE NbTlNiTe3, optimized geometry
# Relative energy among the computed polymorphs (meV per atom): 44
# Calculated density (g/cm³): 7.7
# SG: Cmcm (63)
data_NbTlNiTe3
_cell_length_a 8.514
_cell_length_b 8.514
_cell_length_c 10.253
_cell_angle_alpha 90.00
_cell_angle_beta 90.00
_cell_angle_gamma 154.77
_symmetry_space_group_name_H-M 'P 1'
_symmetry_Int_Tables_number 1
loop_
_symmetry_equiv_pos_as_xyz
'x,y,z'
loop_
_atom_site_label
_atom_site_type_symbol
_atom_site_fract_x
_atom_site_fract_y
_atom_site_fract_z
Nb1 Nb 0.000 0.000 0.000
Nb2 Nb 0.000 0.000 0.500
Ni1 Ni 0.471 0.529 0.250
Ni2 Ni 0.529 0.471 0.750
Te1 Te 0.377 0.623 0.060
Te2 Te 0.074 0.926 0.250
Te3 Te 0.377 0.623 0.440
Te4 Te 0.623 0.377 0.560
Te5 Te 0.926 0.074 0.750
Te6 Te 0.623 0.377 0.940
Tl1 Tl 0.749 0.251 0.250
Tl2 Tl 0.251 0.749 0.750

=====

Entry 8:
# GGA-PBE ThNbNi, optimized geometry
# Relative energy among the computed polymorphs (meV per atom): 0
# ΔE_f (meV per atom): 319
# Calculated density (g/cm³): 9.7
# SG: F-43m (216)
data_ThNbNi
_cell_length_a 4.534
_cell_length_b 4.534
_cell_length_c 4.534
_cell_angle_alpha 60.00
_cell_angle_beta 60.00
_cell_angle_gamma 60.00
_symmetry_space_group_name_H-M 'P 1'
_symmetry_Int_Tables_number 1
loop_
_symmetry_equiv_pos_as_xyz
'x,y,z'
loop_
_atom_site_label
_atom_site_type_symbol
_atom_site_fract_x
_atom_site_fract_y
_atom_site_fract_z
Nb1 Nb 0.750 0.750 0.750
Ni1 Ni 0.000 0.000 0.000
Th1 Th 0.250 0.250 0.250

=====

Entry 9:
# GGA-PBE NbTl2Ni, optimized geometry
# Total DFT energy (no corrections) (eV/atom): -4.380
# Calculated density (g/cm³): 11.6
# SG: F-43m (216)
data_NbTl2Ni
_cell_length_a 4.834
_cell_length_b 4.834
_cell_length_c 4.834
_cell_angle_alpha 60.00
_cell_angle_beta 60.00
_cell_angle_gamma 60.00
_symmetry_space_group_name_H-M 'P 1'
_symmetry_Int_Tables_number 1
loop_
_symmetry_equiv_pos_as_xyz
'x,y,z'
loop_
_atom_site_label
_atom_site_type_symbol
_atom_site_fract_x
_atom_site_fract_y
_atom_site_fract_z
Nb1 Nb 0.250 0.250 0.250
Ni1 Ni 0.000 0.000 0.000
Tl1 Tl 0.500 0.500 0.500
Tl2 Tl 0.750 0.750 0.750

=====

Entry 10:
# GGA-PBE NbTlNiW, optimized geometry
# Total DFT energy (no corrections) (eV/atom): -7.109
# Calculated density (g/cm³): 13.1
# SG: F-43m (216)
data_NbTlNiW
_cell_length_a 4.590
_cell_length_b 4.590
_cell_length_c 4.590
_cell_angle_alpha 60.00
_cell_angle_beta 60.00
_cell_angle_gamma 60.00
_symmetry_space_group_name_H-M 'P 1'
_symmetry_Int_Tables_number 1
loop_
_symmetry_equiv_pos_as_xyz
'x,y,z'
loop_
_atom_site_label
_atom_site_type_symbol
_atom_site_fract_x
_atom_site_fract_y
_atom_site_fract_z
Nb1 Nb 0.250 0.250 0.250
Ni1 Ni 0.750 0.750 0.750
Tl1 Tl 0.000 0.000 0.000
W1 W 0.500 0.500 0.500

=====

Entry 11:
# GGA-PBE YNbTlNi, optimized geometry
# Total DFT energy (no corrections) (eV/atom): -5.802
# Calculated density (g/cm³): 9.1
# SG: F-43m (216)
data_YNbTlNi
_cell_length_a 4.860
_cell_length_b 4.860
_cell_length_c 4.860
_cell_angle_alpha 60.00
_cell_angle_beta 60.00
_cell_angle_gamma 60.00
_symmetry_space_group_name_H-M 'P 1'
_symmetry_Int_Tables_number 1
loop_
_symmetry_equiv_pos_as_xyz
'x,y,z'
loop_
_atom_site_label
_atom_site_type_symbol
_atom_site_fract_x
_atom_site_fract_y
_atom_site_fract_z
Nb1 Nb 0.250 0.250 0.250
Ni1 Ni 0.750 0.750 0.750
Tl1 Tl 0.000 0.000 0.000
Y1 Y 0.500 0.500 0.500

=====

Entry 12:
# GGA-PBE TmNbNi, optimized geometry
# Relative energy among the computed polymorphs (meV per atom): 903
# ΔE_f (meV per atom): 1158
# Calculated density (g/cm³): 8.3
# SG: F-43m (216)
data_TmNbNi
_cell_length_a 4.485
_cell_length_b 4.485
_cell_length_c 4.485
_cell_angle_alpha 60.00
_cell_angle_beta 60.00
_cell_angle_gamma 60.00
_symmetry_space_group_name_H-M 'P 1'
_symmetry_Int_Tables_number 1
loop_
_symmetry_equiv_pos_as_xyz
'x,y,z'
loop_
_atom_site_label
_atom_site_type_symbol
_atom_site_fract_x
_atom_site_fract_y
_atom_site_fract_z
Nb1 Nb 0.250 0.250 0.250
Ni1 Ni 0.750 0.750 0.750
Tm1 Tm 0.000 0.000 0.000

=====

Entry 13:
# GGA-PBE TmNbNi, optimized geometry
# Relative energy among the computed polymorphs (meV per atom): 0
# ΔE_f (meV per atom): 256
# Calculated density (g/cm³): 8.7
# SG: F-43m (216)
data_TmNbNi
_cell_length_a 4.427
_cell_length_b 4.427
_cell_length_c 4.427
_cell_angle_alpha 60.00
_cell_angle_beta 60.00
_cell_angle_gamma 60.00
_symmetry_space_group_name_H-M 'P 1'
_symmetry_Int_Tables_number 1
loop_
_symmetry_equiv_pos_as_xyz
'x,y,z'
loop_
_atom_site_label
_atom_site_type_symbol
_atom_site_fract_x
_atom_site_fract_y
_atom_site_fract_z
Nb1 Nb 0.250 0.250 0.250
Ni1 Ni 0.000 0.000 0.000
Tm1 Tm 0.750 0.750 0.750

=====

Entry 14:
# GGA-PBE UNbNi, optimized geometry
# Relative energy among the computed polymorphs (meV per atom): 298
# ΔE_f (meV per atom): 808
# Calculated density (g/cm³): 11.2
# SG: F-43m (216)
data_UNbNi
_cell_length_a 4.339
_cell_length_b 4.339
_cell_length_c 4.339
_cell_angle_alpha 60.00
_cell_angle_beta 60.00
_cell_angle_gamma 60.00
_symmetry_space_group_name_H-M 'P 1'
_symmetry_Int_Tables_number 1
loop_
_symmetry_equiv_pos_as_xyz
'x,y,z'
loop_
_atom_site_label
_atom_site_type_symbol
_atom_site_fract_x
_atom_site_fract_y
_atom_site_fract_z
Nb1 Nb 0.750 0.750 0.750
Ni1 Ni 0.250 0.250 0.250
U1 U 0.000 0.000 0.000

=====

Entry 15:
# GGA-PBE UNbNi, optimized geometry
# Relative energy among the computed polymorphs (meV per atom): 0
# ΔE_f (meV per atom): 510
# Calculated density (g/cm³): 11.1
# SG: F-43m (216)
data_UNbNi
_cell_length_a 4.353
_cell_length_b 4.353
_cell_length_c 4.353
_cell_angle_alpha 60.00
_cell_angle_beta 60.00
_cell_angle_gamma 60.00
_symmetry_space_group_name_H-M 'P 1'
_symmetry_Int_Tables_number 1
loop_
_symmetry_equiv_pos_as_xyz
'x,y,z'
loop_
_atom_site_label
_atom_site_type_symbol
_atom_site_fract_x
_atom_site_fract_y
_atom_site_fract_z
Nb1 Nb 0.000 0.000 0.000
Ni1 Ni 0.250 0.250 0.250
U1 U 0.500 0.500 0.500

=====

Entry 16:
# GGA-PBE NbNiW2, optimized geometry
# ΔE_f (meV per atom): 138
# Calculated density (g/cm³): 13.9
# SG: F-43m (216)
data_NbNiW2
_cell_length_a 4.439
_cell_length_b 4.439
_cell_length_c 4.439
_cell_angle_alpha 60.00
_cell_angle_beta 60.00
_cell_angle_gamma 60.00
_symmetry_space_group_name_H-M 'P 1'
_symmetry_Int_Tables_number 1
loop_
_symmetry_equiv_pos_as_xyz
'x,y,z'
loop_
_atom_site_label
_atom_site_type_symbol
_atom_site_fract_x
_atom_site_fract_y
_atom_site_fract_z
Nb1 Nb 0.250 0.250 0.250
Ni1 Ni 0.000 0.000 0.000
W1 W 0.500 0.500 0.500
W2 W 0.750 0.750 0.750

=====

Entry 17:
# GGA-PBE NbNi6W, optimized geometry
# ΔE_f (meV per atom): -208
# Calculated density (g/cm³): 10.8
# SG: Pmm2 (25)
data_NbNi6W
_cell_length_a 4.244
_cell_length_b 5.061
_cell_length_c 4.493
_cell_angle_alpha 90.00
_cell_angle_beta 90.00
_cell_angle_gamma 90.00
_symmetry_space_group_name_H-M 'P 1'
_symmetry_Int_Tables_number 1
loop_
_symmetry_equiv_pos_as_xyz
'x,y,z'
loop_
_atom_site_label
_atom_site_type_symbol
_atom_site_fract_x
_atom_site_fract_y
_atom_site_fract_z
Nb1 Nb 0.500 0.000 0.153
Ni1 Ni 0.500 0.500 0.169
Ni2 Ni 0.000 0.254 0.342
Ni3 Ni 0.000 0.746 0.342
Ni4 Ni 0.500 0.256 0.662
Ni5 Ni 0.500 0.744 0.662
Ni6 Ni 0.000 0.000 0.820
W1 W 0.000 0.500 0.849

=====

Entry 18:
# GGA-PBE YNb2Ni, optimized geometry
# ΔE_f (meV per atom): 195
# Calculated density (g/cm³): 7.6
# SG: F-43m (216)
data_YNb2Ni
_cell_length_a 4.689
_cell_length_b 4.689
_cell_length_c 4.689
_cell_angle_alpha 60.00
_cell_angle_beta 60.00
_cell_angle_gamma 60.00
_symmetry_space_group_name_H-M 'P 1'
_symmetry_Int_Tables_number 1
loop_
_symmetry_equiv_pos_as_xyz
'x,y,z'
loop_
_atom_site_label
_atom_site_type_symbol
_atom_site_fract_x
_atom_site_fract_y
_atom_site_fract_z
Nb1 Nb 0.500 0.500 0.500
Nb2 Nb 0.750 0.750 0.750
Ni1 Ni 0.250 0.250 0.250
Y1 Y 0.000 0.000 0.000

=====

Entry 19:
# GGA-PBE YNbNi2, optimized geometry
# ΔE_f (meV per atom): 158
# Calculated density (g/cm³): 7.9
# SG: F-43m (216)
data_YNbNi2
_cell_length_a 4.463
_cell_length_b 4.463
_cell_length_c 4.463
_cell_angle_alpha 60.00
_cell_angle_beta 60.00
_cell_angle_gamma 60.00
_symmetry_space_group_name_H-M 'P 1'
_symmetry_Int_Tables_number 1
loop_
_symmetry_equiv_pos_as_xyz
'x,y,z'
loop_
_atom_site_label
_atom_site_type_symbol
_atom_site_fract_x
_atom_site_fract_y
_atom_site_fract_z
Nb1 Nb 0.000 0.000 0.000
Ni1 Ni 0.250 0.250 0.250
Ni2 Ni 0.500 0.500 0.500
Y1 Y 0.750 0.750 0.750

=====

Entry 20:
# GGA-PBE YNbNi, optimized geometry
# Relative energy among the computed polymorphs (meV per atom): 0
# ΔE_f (meV per atom): 827
# Calculated density (g/cm³): 6.4
# SG: F-43m (216)
data_YNbNi
_cell_length_a 4.454
_cell_length_b 4.454
_cell_length_c 4.454
_cell_angle_alpha 60.00
_cell_angle_beta 60.00
_cell_angle_gamma 60.00
_symmetry_space_group_name_H-M 'P 1'
_symmetry_Int_Tables_number 1
loop_
_symmetry_equiv_pos_as_xyz
'x,y,z'
loop_
_atom_site_label
_atom_site_type_symbol
_atom_site_fract_x
_atom_site_fract_y
_atom_site_fract_z
Nb1 Nb 0.000 0.000 0.000
Ni1 Ni 0.250 0.250 0.250
Y1 Y 0.750 0.750 0.750